(1)
## GdSbF (PBE)

Data for an optimized crystal structure of GdSbF.

Its density is 7.63 g/cm³. Its volume is 21.630 Å³/atom. For the raw formation energy, the calculation gives -1877 meV per atom. Its polymorph energy (0 for the lowest one) is 214 meV/atom. As for the total magnetic moment: 13.8 μB per cell. The value obtained for the density of states at the Fermi level is 2.59 states/eV/f.u. Its total energy is -8.5682 eV/atom.

The space group is I4mm (No. 107) and the conventional cell measures 3.369, 3.369 and 11.431 Å, with angles of 90.00, 90.00 and 90.00 degrees. The asymmetric unit holds Gd at (0.000, 0.000, 0.000), Sb at (0.000, 0.000, 0.293) and F at (0.000, 0.000, 0.564).

***

(2)
## ZnAgP2 (PBE)

Data for an optimized crystal structure of ZnAgP2.

Its density is 5.93 g/cm³. Its volume is 16.454 Å³/atom. As for the total magnetic moment: 0.0 μB per cell. The value obtained for the density of states at the Fermi level is 1.85 states/eV/f.u. Its total energy is -3.2722 eV/atom. Its formation energy from the elements is 0.4640 eV per atom.

The space group is I4/mmm (No. 139) and the conventional cell measures 4.124, 4.124 and 7.740 Å, with angles of 90.00, 90.00 and 90.00 degrees. The asymmetric unit holds Zn at (0.000, 0.000, 0.000), Ag at (0.000, 0.000, 0.500) and P at (0.000, 0.500, 0.250).

***

(3)
## ScCd2Cu (PBE)

Data for an optimized crystal structure of ScCd2Cu.

Its density is 6.79 g/cm³. Its volume is 20.381 Å³/atom. As for the total magnetic moment: 0.0 μB per cell. The value obtained for the density of states at the Fermi level is 2.11 states/eV/f.u. Its total energy is -3.0144 eV/atom. Its formation energy from the elements is 0.0501 eV per atom.

The space group is R-3m (No. 166, hexagonal axes) and the conventional cell measures 3.2180, 3.2180 and 27.2705 Å, with angles of 90.00, 90.00 and 120.00 degrees. The asymmetric unit holds Sc at (0.0000, 0.0000, 0.0000), Cd at (0.0000, 0.0000, 0.2420) and Cu at (0.0000, 0.0000, 0.5000).

***

(4)
## KSr2CaAu (PBE)

Data for an optimized crystal structure of KSr2CaAu.

Its density is 3.22 g/cm³. Its volume is 46.596 Å³/atom. Its polymorph energy (0 for the lowest one) is 0 meV/atom. As for the total magnetic moment: 0.0 μB per cell. The value obtained for the density of states at the Fermi level is 2.59 states/eV/f.u. Its total energy is -2.2556 eV/atom. Its formation energy from the elements is -0.3075 eV per atom.

The space group is P4/mmm (No. 123) and the conventional cell measures 6.256, 6.256 and 5.952 Å, with angles of 90.00, 90.00 and 90.00 degrees. The asymmetric unit holds K at (0.000, 0.000, 0.000), Sr at (0.000, 0.500, 0.500), Ca at (0.500, 0.500, 0.000) and Au at (0.500, 0.500, 0.500).

***

(5)
## LiIn2Sb (PBE)

Data for an optimized crystal structure of LiIn2Sb.

Its density is 5.06 g/cm³. Its volume is 29.390 Å³/atom. For the raw formation energy, the calculation gives -138 meV per atom. As for the total magnetic moment: 0.0 μB per cell. The value obtained for the density of states at the Fermi level is 0.00 states/eV/f.u. Its total energy is -3.0162 eV/atom.

The space group is I-42d (No. 122) and the conventional cell measures 9.335, 9.335 and 5.397 Å, with angles of 90.00, 90.00 and 90.00 degrees. The asymmetric unit holds Li at (0.000, 0.000, 0.000), In at (0.188, 0.250, 0.625) and Sb at (0.000, 0.000, 0.500).

***

(6)
## Sm3ZnPt8 (PBE)

Data for an optimized crystal structure of Sm3ZnPt8.

Its density is 15.11 g/cm³. Its volume is 19.021 Å³/atom. As for the total magnetic moment: 0.0 μB per cell. The value obtained for the density of states at the Fermi level is 6.01 states/eV/f.u. Its total energy is -6.2612 eV/atom. Its formation energy from the elements is -0.9481 eV per atom.

The space group is R3m (No. 160, hexagonal axes) and the conventional cell measures 5.4495, 5.4495 and 26.6242 Å, with angles of 90.00, 90.00 and 120.00 degrees. The asymmetric unit holds Sm at (0.0000, 0.0000, 0.0000), Sm at (0.0000, 0.0000, 0.1295), Sm at (0.0000, 0.0000, 0.5180), Zn at (0.0000, 0.0000, 0.6462), Pt at (0.0000, 0.0000, 0.3185), Pt at (0.0000, 0.0000, 0.8189), Pt at (0.0006, 0.5003, 0.0693) and Pt at (0.1681, 0.3363, 0.9020).

***

(7)
## AsIrAu2 (PBE)

Data for an optimized crystal structure of AsIrAu2.

Its density is 15.14 g/cm³. Its volume is 18.121 Å³/atom. As for the total magnetic moment: 0.0 μB per cell. The value obtained for the density of states at the Fermi level is 2.62 states/eV/f.u. Its total energy is -4.6151 eV/atom. Its formation energy from the elements is 0.4012 eV per atom.

The space group is I-42d (No. 122) and the conventional cell measures 7.470, 7.470 and 5.196 Å, with angles of 90.00, 90.00 and 90.00 degrees. The asymmetric unit holds As at (0.000, 0.000, 0.000), Ir at (0.000, 0.000, 0.500) and Au at (0.237, 0.750, 0.125).

***

(8)
## LaIrW2 (PBE)

Data for an optimized crystal structure of LaIrW2.

Its density is 15.69 g/cm³. Its volume is 18.493 Å³/atom. Its polymorph energy (0 for the lowest one) is 275 meV/atom. As for the total magnetic moment: 0.0 μB per cell. The value obtained for the density of states at the Fermi level is 4.33 states/eV/f.u. Its total energy is -9.4331 eV/atom. Its formation energy from the elements is 0.4906 eV per atom.

The space group is R3m (No. 160, hexagonal axes) and the conventional cell measures 2.8961, 2.8961 and 30.5504 Å, with angles of 90.00, 90.00 and 120.00 degrees. The asymmetric unit holds La at (0.0000, 0.0000, 0.0000), Ir at (0.0000, 0.0000, 0.7584), W at (0.0000, 0.0000, 0.2381) and W at (0.0000, 0.0000, 0.4930).

***

(9)
## CaLa3Ir (PBE)

Data for an optimized crystal structure of CaLa3Ir.

Its density is 6.12 g/cm³. Its volume is 35.210 Å³/atom. Its polymorph energy (0 for the lowest one) is 39 meV/atom. As for the total magnetic moment: 0.0 μB per cell. The value obtained for the density of states at the Fermi level is 7.18 states/eV/f.u. Its total energy is -5.4407 eV/atom. Its formation energy from the elements is -0.3117 eV per atom.

The space group is P2_1/c (No. 14) and the conventional cell measures 9.677, 7.151 and 12.286 Å, with angles of 90.00, 124.07 and 90.00 degrees. The asymmetric unit holds Ca at (0.174, 0.158, 0.064), La at (0.062, 0.580, 0.816), La at (0.320, 0.666, 0.199), La at (0.438, 0.243, 0.938) and Ir at (0.245, 0.581, 0.397).

***

(10)
## YMgCu (PBE)

Data for an optimized crystal structure of YMgCu.

Its density is 3.93 g/cm³. Its volume is 24.922 Å³/atom. Its polymorph energy (0 for the lowest one) is 342 meV/atom. As for the total magnetic moment: 0.0 μB per cell. The value obtained for the density of states at the Fermi level is 2.06 states/eV/f.u. Its total energy is -3.9290 eV/atom. Its formation energy from the elements is 0.1226 eV per atom.

The space group is Pmmn (No. 59, origin choice 2) and the conventional cell measures 3.519, 11.589 and 7.332 Å, with angles of 90.00, 90.00 and 90.00 degrees. The asymmetric unit holds Y at (0.250, 0.096, 0.147), Mg at (0.250, 0.112, 0.601) and Cu at (0.250, 0.649, 0.131).

***

(11)
## CsBa2ScBr8 (PBE)

Data for an optimized crystal structure of CsBa2ScBr8.

Its density is 3.56 g/cm³. Its volume is 42.458 Å³/atom. For the raw formation energy, the calculation gives -1914 meV per atom. As for the total magnetic moment: 0.0 μB per cell. The value obtained for the density of states at the Fermi level is 0.00 states/eV/f.u. Its total energy is -3.9487 eV/atom.

The space group is P-1 (No. 2) and the conventional cell measures 7.109, 7.164 and 10.004 Å, with angles of 90.05, 90.14 and 90.05 degrees. The asymmetric unit holds Cs at (0.000, 0.000, 0.000), Ba at (0.499, 0.500, 0.742), Sc at (0.000, 0.000, 0.500), Br at (0.218, 0.854, 0.311), Br at (0.220, 0.856, 0.689), Br at (0.228, 0.311, 0.499) and Br at (0.255, 0.409, 0.000).

***

(12)
## Pm3As2N (PBE)

Data for an optimized crystal structure of Pm3As2N.

Its density is 6.94 g/cm³. Its volume is 23.877 Å³/atom. For the raw formation energy, the calculation gives -1340 meV per atom. As for the total magnetic moment: 0.0 μB per cell. The value obtained for the density of states at the Fermi level is 0.85 states/eV/f.u. Its total energy is -6.6524 eV/atom.

The space group is C2/c (No. 15) and the conventional cell measures 12.816, 5.974 and 7.864 Å, with angles of 90.00, 107.88 and 90.00 degrees. The asymmetric unit holds Pm at (0.000, 0.054, 0.250), Pm at (0.145, 0.498, 0.574), As at (0.173, 0.006, 0.086) and N at (0.000, 0.445, 0.250).

***

(13)
## AlCuHg (PBE)

Data for an optimized crystal structure of AlCuHg.

Its density is 9.21 g/cm³. Its volume is 17.489 Å³/atom. Its polymorph energy (0 for the lowest one) is 1 meV/atom. As for the total magnetic moment: 0.0 μB per cell. The value obtained for the density of states at the Fermi level is 0.80 states/eV/f.u. Its total energy is -2.6102 eV/atom. Its formation energy from the elements is 0.1033 eV per atom.

The space group is P3m1 (No. 156) and the conventional cell measures 3.0909, 3.0909 and 6.3412 Å, with angles of 90.00, 90.00 and 120.00 degrees. The asymmetric unit holds Al at (0.0000, 0.0000, 0.0000), Cu at (0.6667, 0.3333, 0.2826) and Hg at (0.3333, 0.6667, 0.6274).

***

(14)
## TiBiPS2 (PBE)

Data for an optimized crystal structure of TiBiPS2.

Its density is 5.42 g/cm³. Its volume is 21.583 Å³/atom. For the raw formation energy, the calculation gives -241 meV per atom. Its polymorph energy (0 for the lowest one) is 0 meV/atom. As for the total magnetic moment: 0.0 μB per cell. The value obtained for the density of states at the Fermi level is 3.24 states/eV/f.u. Its total energy is -5.3295 eV/atom.

The space group is P4/mmm (No. 123) and the conventional cell measures 4.619, 4.619 and 5.059 Å, with angles of 90.00, 90.00 and 90.00 degrees. The asymmetric unit holds Ti at (0.000, 0.000, 0.000), Bi at (0.500, 0.500, 0.500), P at (0.000, 0.000, 0.500) and S at (0.000, 0.500, 0.000).

***

(15)
## Sr3Hg2N (PBE)

Data for an optimized crystal structure of Sr3Hg2N.

Its density is 6.11 g/cm³. Its volume is 30.717 Å³/atom. For the raw formation energy, the calculation gives -491 meV per atom. Its polymorph energy (0 for the lowest one) is 0 meV/atom. As for the total magnetic moment: 0.0 μB per cell. The value obtained for the density of states at the Fermi level is 3.50 states/eV/f.u. Its total energy is -2.8201 eV/atom.

The space group is P6_3/mmc (No. 194) and the conventional cell measures 7.8142, 7.8142 and 6.9703 Å, with angles of 90.00, 90.00 and 120.00 degrees. The asymmetric unit holds Sr at (0.1436, 0.2871, 0.2500), Hg at (0.3333, 0.6667, 0.5516) and N at (0.0000, 0.0000, 0.0000).

***

(16)
## NiGe2S6 (PBE)

Data for an optimized crystal structure of NiGe2S6.

Its density is 3.68 g/cm³. Its volume is 19.846 Å³/atom. For the raw formation energy, the calculation gives -93 meV per atom. As for the total magnetic moment: 0.0 μB per cell. The value obtained for the density of states at the Fermi level is 5.51 states/eV/f.u. Its total energy is -4.5134 eV/atom.

The space group is C2/c (No. 15) and the conventional cell measures 11.246, 10.437 and 6.190 Å, with angles of 90.00, 100.46 and 90.00 degrees. The asymmetric unit holds Ni at (0.000, 0.097, 0.250), Ge at (0.192, 0.415, 0.335), S at (0.100, 0.078, 0.610), S at (0.117, 0.407, 0.648) and S at (0.126, 0.242, 0.134).

***

(17)
## MnZn2SbC (PBE)

Data for an optimized crystal structure of MnZn2SbC.

Its density is 7.28 g/cm³. Its volume is 14.583 Å³/atom. For the raw formation energy, the calculation gives 593 meV per atom. As for the total magnetic moment: 0.0 μB per cell. The value obtained for the density of states at the Fermi level is 5.30 states/eV/f.u. Its total energy is -4.4202 eV/atom.

The space group is P4/mmm (No. 123) and the conventional cell measures 4.329, 4.329 and 3.891 Å, with angles of 90.00, 90.00 and 90.00 degrees. The asymmetric unit holds Mn at (0.000, 0.000, 0.000), Zn at (0.000, 0.500, 0.500), Sb at (0.500, 0.500, 0.000) and C at (0.000, 0.000, 0.500).